An optimized crystal structure of BeV2Pb. Source: Alexandria via LeMat-Bulk, functional PBE.

Results
energy relative to the elements = 694.8 meV per atom
space-group type = No. 122
total moment = 0.00 Bohr magnetons per cell
V = 63 Å³/f.u.
energy = -5.723 eV/atom
distance to the lowest polymorph of the same formula = 1.25 kcal/mol of atoms

a = 5.570 Å, b = 5.570 Å, c = 5.570 Å
α = 102.67°, β = 102.67°, γ = 124.15°
Element x y z (fractional)
Be1 0.000 0.000 0.000
Be2 0.750 0.250 0.500
V1 0.089 0.625 0.964
V2 0.375 0.339 0.464
V3 0.661 0.125 0.036
V4 0.875 0.911 0.536
Pb1 0.250 0.750 0.500
Pb2 0.500 0.500 0.000

=====

An optimized crystal structure of Ce2PaPdN5. Source: Alexandria via LeMat-Bulk, functional PBE.

Results
formation energy (no corrections) = -0.88 eV/atom
space-group type = No. 127
total moment = 0.00 Bohr magnetons per cell
V = 119 Å³/f.u.
energy = -8.460 eV/atom

a = 6.425 Å, b = 6.425 Å, c = 5.787 Å
α = 90.00°, β = 90.00°, γ = 90.00°
Element x y z (fractional)
Ce1 0.164 0.336 0.000
Ce2 0.336 0.836 0.000
Ce3 0.664 0.164 0.000
Ce4 0.836 0.664 0.000
Pa1 0.000 0.000 0.500
Pa2 0.500 0.500 0.500
Pd1 0.000 0.500 0.500
Pd2 0.500 0.000 0.500
N1 0.000 0.000 0.000
N2 0.172 0.672 0.279
N3 0.172 0.672 0.721
N4 0.328 0.172 0.279
N5 0.328 0.172 0.721
N6 0.500 0.500 0.000
N7 0.672 0.828 0.279
N8 0.672 0.828 0.721
N9 0.828 0.328 0.279
N10 0.828 0.328 0.721

=====

An optimized crystal structure of SrHg6Pd6. Source: Alexandria via LeMat-Bulk, functional PBE.

Results
energy relative to the elements = -327.4 meV per atom
space-group type = No. 71
total moment = 0.00 Bohr magnetons per cell
V = 263 Å³/f.u.
energy = -2.993 eV/atom

a = 7.367 Å, b = 7.367 Å, c = 7.367 Å
α = 134.40°, β = 101.36°, γ = 95.93°
Element x y z (fractional)
Sr1 0.000 0.000 0.000
Hg1 0.179 0.679 0.500
Hg2 0.336 0.000 0.336
Hg3 0.342 0.342 0.000
Hg4 0.658 0.658 0.000
Hg5 0.664 0.000 0.664
Hg6 0.821 0.321 0.500
Pd1 0.000 0.000 0.500
Pd2 0.000 0.500 0.000
Pd3 0.241 0.500 0.741
Pd4 0.500 0.000 0.000
Pd5 0.500 0.500 0.500
Pd6 0.759 0.500 0.259